Entry 1:
Density functional theory data (PBE-GGA) for SrW5 after structural relaxation.

Results
The calculated formation energy is 848 meV/atom. The space-group type is No. 65. The value obtained for the total magnetization is 0.00 μB per formula unit. Its energy above the lowest structure with this stoichiometry is 257.1 meV per atom.

Structure (CIF):
```
data_SrW5
_chemical_formula_sum 'Sr1 W5'
_symmetry_space_group_name_H-M 'P 1'
_symmetry_Int_Tables_number 1
_symmetry_space_group_name_Hall 'P 1'
_cell_length_a 5.540
_cell_length_b 5.540
_cell_length_c 4.632
_cell_angle_alpha 90.00
_cell_angle_beta 90.00
_cell_angle_gamma 131.13
loop_
_atom_site_label
_atom_site_type_symbol
_atom_site_fract_x
_atom_site_fract_y
_atom_site_fract_z
Sr1 Sr 0.500 0.500 0.000
W1 W 0.321 0.679 0.500
W2 W 0.178 0.822 0.000
W3 W 0.000 0.000 0.500
W4 W 0.822 0.178 0.000
W5 W 0.679 0.321 0.500
```



Entry 2:
Density functional theory data (PBE-GGA) for InPPt2 after structural relaxation.

Results
The calculated formation energy is -3 meV/atom. The space-group type is No. 139. The value obtained for the total magnetization is 0.00 μB per formula unit. Its energy above the lowest structure with this stoichiometry is 344.1 meV per atom.

Structure (CIF):
```
data_InPPt2
_chemical_formula_sum 'In1 P1 Pt2'
_symmetry_space_group_name_H-M 'P 1'
_symmetry_Int_Tables_number 1
_symmetry_space_group_name_Hall 'P 1'
_cell_length_a 4.742
_cell_length_b 4.742
_cell_length_c 4.742
_cell_angle_alpha 126.34
_cell_angle_beta 126.34
_cell_angle_gamma 79.34
loop_
_atom_site_label
_atom_site_type_symbol
_atom_site_fract_x
_atom_site_fract_y
_atom_site_fract_z
In1 In 0.250 0.750 0.500
P1 P 0.750 0.250 0.500
Pt1 Pt 0.000 0.000 0.000
Pt2 Pt 0.500 0.500 0.000
```



Entry 3:
Density functional theory data (PBE-GGA) for KLiCdAs2 after structural relaxation.

Results
The calculated formation energy is 77 meV/atom. The space-group type is No. 123. The value obtained for the total magnetization is 0.00 μB per formula unit.

Structure (CIF):
```
data_KLiCdAs2
_chemical_formula_sum 'K1 Li1 Cd1 As2'
_symmetry_space_group_name_H-M 'P 1'
_symmetry_Int_Tables_number 1
_symmetry_space_group_name_Hall 'P 1'
_cell_length_a 5.285
_cell_length_b 5.201
_cell_length_c 5.285
_cell_angle_alpha 90.00
_cell_angle_beta 90.00
_cell_angle_gamma 90.00
loop_
_atom_site_label
_atom_site_type_symbol
_atom_site_fract_x
_atom_site_fract_y
_atom_site_fract_z
As1 As 0.000 0.000 0.500
As2 As 0.500 0.000 0.000
Li1 Li 0.000 0.500 0.000
K1 K 0.500 0.500 0.500
Cd1 Cd 0.000 0.000 0.000
```



Entry 4:
Density functional theory data (PBE-GGA) for NaCaPtAu after structural relaxation.

Results
The calculated formation energy is -512 meV/atom. The space-group type is No. 216. The value obtained for the total magnetization is 0.00 μB per formula unit.

Structure (CIF):
```
data_NaCaPtAu
_chemical_formula_sum 'Na1 Ca1 Pt1 Au1'
_symmetry_space_group_name_H-M 'P 1'
_symmetry_Int_Tables_number 1
_symmetry_space_group_name_Hall 'P 1'
_cell_length_a 4.931
_cell_length_b 4.931
_cell_length_c 4.931
_cell_angle_alpha 60.00
_cell_angle_beta 60.00
_cell_angle_gamma 60.00
loop_
_atom_site_label
_atom_site_type_symbol
_atom_site_fract_x
_atom_site_fract_y
_atom_site_fract_z
Na1 Na 0.500 0.500 0.500
Ca1 Ca 0.000 0.000 0.000
Au1 Au 0.250 0.250 0.250
Pt1 Pt 0.750 0.750 0.750
```



Entry 5:
Density functional theory data (PBE-GGA) for ErScTlIn after structural relaxation.

Results
The calculated formation energy is -349 meV/atom. The space-group type is No. 119. The value obtained for the total magnetization is 0.52 μB per formula unit. Its energy above the lowest structure with this stoichiometry is 0.0 meV per atom.

Structure (CIF):
```
data_ErScTlIn
_chemical_formula_sum 'Er1 Sc1 Tl1 In1'
_symmetry_space_group_name_H-M 'P 1'
_symmetry_Int_Tables_number 1
_symmetry_space_group_name_Hall 'P 1'
_cell_length_a 4.801
_cell_length_b 4.801
_cell_length_c 5.457
_cell_angle_alpha 116.10
_cell_angle_beta 116.10
_cell_angle_gamma 90.00
loop_
_atom_site_label
_atom_site_type_symbol
_atom_site_fract_x
_atom_site_fract_y
_atom_site_fract_z
Er1 Er 0.250 0.750 0.500
Sc1 Sc 0.750 0.250 0.500
Tl1 Tl 0.500 0.500 0.000
In1 In 0.000 0.000 0.000
```



Entry 6:
Density functional theory data (PBE-GGA) for TeSe2SBr after structural relaxation.

Results
For the formation energy without anion corrections, the calculation gives 3.90 eV/f.u. The space-group type is No. 123. The value obtained for the total magnetization is 2.88 μB per formula unit. Its energy above the lowest structure with this stoichiometry is 249.8 meV per atom.

Structure (CIF):
```
data_TeSe2SBr
_chemical_formula_sum 'Te1 Se2 S1 Br1'
_symmetry_space_group_name_H-M 'P 1'
_symmetry_Int_Tables_number 1
_symmetry_space_group_name_Hall 'P 1'
_cell_length_a 5.437
_cell_length_b 5.437
_cell_length_c 5.521
_cell_angle_alpha 90.00
_cell_angle_beta 90.00
_cell_angle_gamma 90.00
loop_
_atom_site_label
_atom_site_type_symbol
_atom_site_fract_x
_atom_site_fract_y
_atom_site_fract_z
S1 S 0.500 0.500 0.500
Te1 Te 0.000 0.000 0.000
Se1 Se 0.000 0.500 0.000
Se2 Se 0.500 0.000 0.000
Br1 Br 0.000 0.000 0.500
```



Entry 7:
Density functional theory data (PBE-GGA) for NaSrRu2 after structural relaxation.

Results
The calculated formation energy is 1163 meV/atom. The space-group type is No. 225. The value obtained for the total magnetization is 2.67 μB per formula unit. Its energy above the lowest structure with this stoichiometry is 41.9 meV per atom.

Structure (CIF):
```
data_NaSrRu2
_chemical_formula_sum 'Na1 Sr1 Ru2'
_symmetry_space_group_name_H-M 'P 1'
_symmetry_Int_Tables_number 1
_symmetry_space_group_name_Hall 'P 1'
_cell_length_a 4.902
_cell_length_b 4.902
_cell_length_c 4.902
_cell_angle_alpha 60.00
_cell_angle_beta 60.00
_cell_angle_gamma 60.00
loop_
_atom_site_label
_atom_site_type_symbol
_atom_site_fract_x
_atom_site_fract_y
_atom_site_fract_z
Ru1 Ru 0.250 0.250 0.250
Ru2 Ru 0.750 0.750 0.750
Na1 Na 0.000 0.000 0.000
Sr1 Sr 0.500 0.500 0.500
```



Entry 8:
Density functional theory data (PBE-GGA) for NbNiPd14 after structural relaxation.

Results
The calculated formation energy is -118 meV/atom. The space-group type is No. 123. The value obtained for the total magnetization is 1.64 μB per formula unit.

Structure (CIF):
```
data_NbNiPd14
_chemical_formula_sum 'Nb1 Ni1 Pd14'
_symmetry_space_group_name_H-M 'P 1'
_symmetry_Int_Tables_number 1
_symmetry_space_group_name_Hall 'P 1'
_cell_length_a 5.606
_cell_length_b 5.606
_cell_length_c 7.804
_cell_angle_alpha 90.00
_cell_angle_beta 90.00
_cell_angle_gamma 90.00
loop_
_atom_site_label
_atom_site_type_symbol
_atom_site_fract_x
_atom_site_fract_y
_atom_site_fract_z
Nb1 Nb 0.875 0.875 0.500
Ni1 Ni 0.375 0.375 0.500
Pd1 Pd 0.875 0.875 0.000
Pd2 Pd 0.375 0.375 0.000
Pd3 Pd 0.875 0.375 0.500
Pd4 Pd 0.875 0.375 0.000
Pd5 Pd 0.375 0.875 0.500
Pd6 Pd 0.375 0.875 0.000
Pd7 Pd 0.625 0.125 0.257
Pd8 Pd 0.625 0.125 0.743
Pd9 Pd 0.125 0.625 0.257
Pd10 Pd 0.125 0.625 0.743
Pd11 Pd 0.625 0.625 0.257
Pd12 Pd 0.625 0.625 0.743
Pd13 Pd 0.125 0.125 0.257
Pd14 Pd 0.125 0.125 0.743
```